P | Pm8TlCu2 | PBE | optimized geometry

Unit cell a=8.859 b=13.881 c=5.537 alpha=90.00 beta=106.63 gamma=90.00
Space group C2/m (No. 12)
Inequivalent atoms, fractional coordinates:
Pm 0.000 0.243 0.000 x4
Pm 0.103 0.500 0.806 x4
Pm 0.201 0.123 0.578 x8
Tl 0.000 0.000 0.000 x2
Cu 0.000 0.308 0.500 x4

---

Q | Pm8TlCu2 | PBE | optimized geometry

Unit cell a=17.545 b=5.073 c=7.879 alpha=90.00 beta=113.98 gamma=90.00
Space group C2/m (No. 12)
Inequivalent atoms, fractional coordinates:
Pm 0.047 0.000 0.260 x4
Pm 0.094 0.500 0.968 x4
Pm 0.183 0.500 0.481 x4
Pm 0.187 0.000 0.792 x4
Tl 0.000 0.500 0.500 x2
Cu 0.190 0.000 0.156 x4

---

List of relative energies, unit eV/atom: P 0.072; Q 0.000

---

P | PmTmCu2 | PBE | optimized geometry

Unit cell a=6.994 b=6.994 c=6.994 alpha=90.00 beta=90.00 gamma=90.00
Space group Fm-3m (No. 225)
Inequivalent atoms, fractional coordinates:
Pm 0.000 0.000 0.000 x4
Tm 0.000 0.000 0.500 x4
Cu 0.250 0.250 0.250 x8

---

Q | PmTmCu2 | PBE | optimized geometry

Unit cell a=3.468 b=3.468 c=7.050 alpha=90.00 beta=90.00 gamma=90.00
Space group P4/mmm (No. 123)
Inequivalent atoms, fractional coordinates:
Pm 0.000 0.000 0.000 x1
Tm 0.000 0.000 0.500 x1
Cu 0.500 0.500 0.274 x2

---

List of relative energies, unit eV/atom: P 0.017; Q 0.000

---

P | Pm2TmCu6 | PBE | optimized geometry

Unit cell a=7.3643 b=7.3643 c=3.6396 alpha=90.00 beta=90.00 gamma=120.00
Space group P6/mmm (No. 191)
Inequivalent atoms, fractional coordinates:
Pm 0.3333 0.6667 0.0000 x2
Tm 0.0000 0.0000 0.0000 x1
Cu 0.0000 0.3305 0.5000 x6

---

Q | Pm2TmCu6 | PBE | optimized geometry

Unit cell a=3.519 b=7.279 c=13.645 alpha=90.00 beta=90.00 gamma=90.00
Space group Immm (No. 71)
Inequivalent atoms, fractional coordinates:
Pm 0.000 0.000 0.144 x4
Tm 0.000 0.500 0.000 x2
Cu 0.000 0.170 0.336 x8
Cu 0.000 0.319 0.500 x4

---

List of relative energies, unit eV/atom: P 0.000; Q 0.148

---

P | PmTm2Cu2 | PBE | optimized geometry

Unit cell a=4.967 b=4.594 c=10.656 alpha=90.00 beta=96.36 gamma=90.00
Space group P2_1/m (No. 11)
Inequivalent atoms, fractional coordinates:
Pm 0.191 0.250 0.242 x2
Tm 0.250 0.750 0.497 x2
Tm 0.345 0.250 0.887 x2
Cu 0.128 0.750 0.007 x2
Cu 0.283 0.250 0.634 x2

---

Q | PmTm2Cu2 | PBE | optimized geometry

Unit cell a=3.488 b=5.107 c=13.040 alpha=90.00 beta=97.68 gamma=90.00
Space group P2_1/m (No. 11)
Inequivalent atoms, fractional coordinates:
Pm 0.143 0.250 0.283 x2
Tm 0.046 0.750 0.093 x2
Tm 0.231 0.750 0.461 x2
Cu 0.358 0.250 0.719 x2
Cu 0.457 0.750 0.915 x2

---

List of relative energies, unit eV/atom: P 0.030; Q 0.000

---

P | PmTmCu4 | PBE | optimized geometry

Unit cell a=4.301 b=6.889 c=7.361 alpha=90.00 beta=90.00 gamma=90.00
Space group Imm2 (No. 44)
Inequivalent atoms, fractional coordinates:
Pm 0.000 0.000 0.000 x2
Tm 0.000 0.500 0.914 x2
Cu 0.000 0.195 0.617 x4
Cu 0.000 0.299 0.288 x4

---

Q | PmTmCu4 | PBE | optimized geometry

Unit cell a=7.466 b=7.466 c=7.466 alpha=90.00 beta=90.00 gamma=90.00
Space group F-43m (No. 216)
Inequivalent atoms, fractional coordinates:
Pm 0.000 0.000 0.000 x4
Tm 0.250 0.250 0.250 x4
Cu 0.124 0.124 0.624 x16

---

List of relative energies, unit eV/atom: P 0.000; Q 0.104

---

P | PmY2Cu2 | PBE | optimized geometry

Unit cell a=3.551 b=5.157 c=13.198 alpha=90.00 beta=97.73 gamma=90.00
Space group P2_1/m (No. 11)
Inequivalent atoms, fractional coordinates:
Pm 0.140 0.250 0.282 x2
Y 0.046 0.750 0.093 x2
Y 0.230 0.750 0.460 x2
Cu 0.361 0.250 0.720 x2
Cu 0.457 0.750 0.912 x2

---

Q | PmY2Cu2 | PBE | optimized geometry

Unit cell a=5.052 b=4.673 c=10.765 alpha=90.00 beta=96.98 gamma=90.00
Space group P2_1/m (No. 11)
Inequivalent atoms, fractional coordinates:
Pm 0.190 0.250 0.241 x2
Y 0.248 0.750 0.495 x2
Y 0.344 0.250 0.886 x2
Cu 0.124 0.750 0.007 x2
Cu 0.287 0.250 0.634 x2

---

List of relative energies, unit eV/atom: P 0.000; Q 0.035